# KSc2Mn

A relaxed KSc2Mn crystal (PBE-GGA, Alexandria via LeMat-Bulk).

```
KSc2Mn
1.0
3.2282 0.0000 0.0000
0.0000 3.2198 0.0402
0.0000 3.1200 10.1104
K Sc Mn
1 2 1
Direct
0.5000 0.2500 0.2500 K
0.0000 0.4027 0.5987 Sc
0.0000 0.0973 0.9013 Sc
0.5000 0.7500 0.7500 Mn
```

Computed properties:
- DFT total energy: -5.4784 eV/atom
- Crystal system: monoclinic
- Formation enthalpy at 0 K: 0.25 eV per atom
- Mass density: 2.92 g/cm³
- Energy above the most stable polymorph in this dataset: 0.000 kcal/mol of atoms